Record 1
An optimized crystal structure of Ca3BiP, computed with PBE. Values from VASP.

Values from the calculation:
- space group = Cmmm (65)
- relative energy among the computed polymorphs (eV/f.u.) = 0.544
- magnetic moment (μB/f.u.) = 0.00

Geometry as Quantum ESPRESSO input:
```
&SYSTEM
  ibrav = 0, nat = 10, ntyp = 3
/
ATOMIC_SPECIES
Ca 40.08 Ca.upf
Bi 208.98 Bi.upf
P 30.97 P.upf
ATOMIC_POSITIONS angstrom
Ca 1.870 3.977 2.660
Ca 3.740 5.545 0.000
Ca 2.019 0.000 2.660
Ca 1.870 -3.977 2.660
Ca 5.461 0.000 2.660
Ca 3.740 -5.545 0.000
Bi 3.740 2.189 0.000
Bi 3.740 -2.189 0.000
P 3.740 6.067 2.660
P 3.740 -6.067 2.660
CELL_PARAMETERS angstrom
3.740 -7.955 0.000
3.740 7.955 0.000
0.000 0.000 5.320
```

Record 2
An optimized crystal structure of Ca3BiP, computed with PBE. Values from VASP.

Values from the calculation:
- space group = C2/m (12)
- relative energy among the computed polymorphs (eV/f.u.) = 0.336
- magnetic moment (μB/f.u.) = 0.00

Geometry as Quantum ESPRESSO input:
```
&SYSTEM
  ibrav = 0, nat = 10, ntyp = 3
/
ATOMIC_SPECIES
Ca 40.08 Ca.upf
Bi 208.98 Bi.upf
P 30.97 P.upf
ATOMIC_POSITIONS angstrom
Ca 0.000 0.000 0.000
Ca -1.663 0.000 3.880
Ca 1.369 0.000 6.385
Ca 3.860 0.000 4.189
Ca 8.855 0.000 3.571
Ca 11.346 0.000 1.375
Bi 5.861 0.000 1.618
Bi 6.853 0.000 6.143
P 1.614 0.000 2.381
P 11.100 0.000 5.379
CELL_PARAMETERS angstrom
8.020 -2.375 0.000
8.020 2.375 0.000
-3.325 0.000 7.760
```

Record 3
An optimized crystal structure of CaBiP3, computed with PBE. Values from VASP.

Values from the calculation:
- space group = Pm-3m (221)
- relative energy among the computed polymorphs (eV/f.u.) = 1.606
- magnetic moment (μB/f.u.) = 0.00

Geometry as Quantum ESPRESSO input:
```
&SYSTEM
  ibrav = 0, nat = 5, ntyp = 3
/
ATOMIC_SPECIES
Ca 40.08 Ca.upf
Bi 208.98 Bi.upf
P 30.97 P.upf
ATOMIC_POSITIONS angstrom
Ca 0.000 0.000 0.000
Bi 2.572 2.572 2.572
P 0.000 0.000 2.572
P 0.000 2.572 0.000
P 2.572 0.000 0.000
CELL_PARAMETERS angstrom
5.144 0.000 0.000
0.000 5.144 0.000
0.000 0.000 5.144
```

Record 4
An optimized crystal structure of Ca6Bi3P, computed with PBE. Values from VASP.

Values from the calculation:
- space group = P2_1/c (14)
- relative energy among the computed polymorphs (eV/f.u.) = 0.000
- magnetic moment (μB/f.u.) = 0.00

Geometry as Quantum ESPRESSO input:
```
&SYSTEM
  ibrav = 0, nat = 20, ntyp = 3
/
ATOMIC_SPECIES
Ca 40.08 Ca.upf
Bi 208.98 Bi.upf
P 30.97 P.upf
ATOMIC_POSITIONS angstrom
Ca -0.999 0.526 2.596
Ca -4.778 3.593 8.064
Ca 1.348 5.819 0.775
Ca -2.431 6.541 6.243
Ca 2.327 1.464 0.637
Ca -1.452 2.656 6.105
Ca 1.589 5.584 4.831
Ca -2.190 6.776 10.298
Ca 2.568 1.699 4.693
Ca -1.211 2.421 10.161
Ca 4.915 4.646 2.871
Ca 1.136 7.713 8.339
Bi -3.554 0.626 8.240
Bi 0.225 3.494 2.772
Bi 0.069 0.000 5.468
Bi 3.847 4.120 0.000
Bi -0.088 4.746 8.164
Bi 3.691 7.614 2.696
P 0.000 0.000 0.000
P -3.779 4.120 5.468
CELL_PARAMETERS angstrom
7.694 0.000 0.000
0.000 8.240 0.000
-7.557 0.000 10.936
```

Record 5
An optimized crystal structure of Ca3BiP, computed with PBE. Values from VASP.

Values from the calculation:
- space group = P6_3/mmc (194)
- relative energy among the computed polymorphs (eV/f.u.) = 1.670
- magnetic moment (μB/f.u.) = 0.00

Geometry as Quantum ESPRESSO input:
```
&SYSTEM
  ibrav = 0, nat = 10, ntyp = 3
/
ATOMIC_SPECIES
Ca 40.08 Ca.upf
Bi 208.98 Bi.upf
P 30.97 P.upf
ATOMIC_POSITIONS angstrom
Ca 0.000 0.000 4.165
Ca 0.000 0.000 12.495
Ca 0.000 2.919 1.109
Ca 0.000 2.919 7.221
Ca 2.528 1.459 9.439
Ca 2.528 1.459 15.551
Bi 0.000 2.919 4.165
Bi 2.528 1.459 12.495
P 0.000 0.000 0.000
P 0.000 0.000 8.330
CELL_PARAMETERS angstrom
5.055 0.000 0.000
-2.528 4.378 0.000
0.000 0.000 16.660
```

Record 6
An optimized crystal structure of Ca3BiP, computed with PBE. Values from VASP.

Values from the calculation:
- space group = Pm-3m (221)
- relative energy among the computed polymorphs (eV/f.u.) = 4.511
- magnetic moment (μB/f.u.) = 0.00

Geometry as Quantum ESPRESSO input:
```
&SYSTEM
  ibrav = 0, nat = 5, ntyp = 3
/
ATOMIC_SPECIES
Ca 40.08 Ca.upf
Bi 208.98 Bi.upf
P 30.97 P.upf
ATOMIC_POSITIONS angstrom
Ca 0.000 0.000 2.908
Ca 0.000 2.908 0.000
Ca 2.908 0.000 0.000
Bi 0.000 0.000 0.000
P 2.908 2.908 2.908
CELL_PARAMETERS angstrom
5.816 0.000 0.000
0.000 5.816 0.000
0.000 0.000 5.816
```

Record 7
An optimized crystal structure of Ca3BiP, computed with PBE. Values from VASP.

Values from the calculation:
- space group = P4mm (99)
- relative energy among the computed polymorphs (eV/f.u.) = 2.440
- magnetic moment (μB/f.u.) = 0.00

Geometry as Quantum ESPRESSO input:
```
&SYSTEM
  ibrav = 0, nat = 5, ntyp = 3
/
ATOMIC_SPECIES
Ca 40.08 Ca.upf
Bi 208.98 Bi.upf
P 30.97 P.upf
ATOMIC_POSITIONS angstrom
Ca 0.000 0.000 0.000
Ca 0.000 2.485 4.793
Ca 2.485 0.000 4.793
Bi 0.000 0.000 2.975
P 2.485 2.485 6.391
CELL_PARAMETERS angstrom
4.970 0.000 0.000
0.000 4.970 0.000
0.000 0.000 7.715
```

Record 8
An optimized crystal structure of Ca3BiP, computed with PBE. Values from VASP.

Values from the calculation:
- space group = P6_3/mmc (194)
- relative energy among the computed polymorphs (eV/f.u.) = 0.532
- magnetic moment (μB/f.u.) = 0.00

Geometry as Quantum ESPRESSO input:
```
&SYSTEM
  ibrav = 0, nat = 10, ntyp = 3
/
ATOMIC_SPECIES
Ca 40.08 Ca.upf
Bi 208.98 Bi.upf
P 30.97 P.upf
ATOMIC_POSITIONS angstrom
Ca 0.000 0.000 4.150
Ca 0.000 0.000 12.449
Ca 0.000 2.888 1.410
Ca 0.000 2.888 6.890
Ca 2.501 1.444 9.709
Ca 2.501 1.444 15.189
Bi 0.000 0.000 0.000
Bi 0.000 0.000 8.299
P 0.000 2.888 4.150
P 2.501 1.444 12.449
CELL_PARAMETERS angstrom
5.003 0.000 0.000
-2.501 4.333 0.000
0.000 0.000 16.599
```

Record 9
An optimized crystal structure of CaBi2P, computed with PBE. Values from VASP.

Values from the calculation:
- space group = I-42d (122)
- magnetic moment (μB/f.u.) = 0.00
- raw total energy (eV per atom) = -3.97

Geometry as Quantum ESPRESSO input:
```
&SYSTEM
  ibrav = 0, nat = 8, ntyp = 3
/
ATOMIC_SPECIES
Ca 40.08 Ca.upf
Bi 208.98 Bi.upf
P 30.97 P.upf
ATOMIC_POSITIONS angstrom
Ca 0.000 0.000 0.000
Ca 0.000 4.594 1.462
Bi 2.297 -1.652 2.194
Bi 2.942 2.297 0.731
Bi 2.297 6.246 -0.731
Bi 1.652 2.297 3.656
P 4.594 0.000 1.462
P 0.000 0.000 2.925
CELL_PARAMETERS angstrom
-4.594 4.594 2.925
4.594 -4.594 2.925
4.594 4.594 -2.925
```

Record 10
An optimized crystal structure of CaBi2P2, computed with PBE. Values from VASP.

Values from the calculation:
- space group = P4/mbm (127)
- relative energy among the computed polymorphs (eV/f.u.) = 0.000
- magnetic moment (μB/f.u.) = 0.00

Geometry as Quantum ESPRESSO input:
```
&SYSTEM
  ibrav = 0, nat = 10, ntyp = 3
/
ATOMIC_SPECIES
Ca 40.08 Ca.upf
Bi 208.98 Bi.upf
P 30.97 P.upf
ATOMIC_POSITIONS angstrom
Ca 0.000 0.000 0.000
Ca 4.003 4.003 0.000
Bi 1.255 2.748 2.034
Bi 2.748 6.751 2.034
Bi 5.259 1.255 2.034
Bi 6.751 5.259 2.034
P 1.431 5.435 0.000
P 2.572 1.431 0.000
P 5.435 6.575 0.000
P 6.575 2.572 0.000
CELL_PARAMETERS angstrom
8.007 0.000 0.000
0.000 8.007 0.000
0.000 0.000 4.068
```

Record 11
An optimized crystal structure of Ca3BiP, computed with PBE. Values from VASP.

Values from the calculation:
- space group = I-4m2 (119)
- relative energy among the computed polymorphs (eV/f.u.) = 2.910
- magnetic moment (μB/f.u.) = 0.74

Geometry as Quantum ESPRESSO input:
```
&SYSTEM
  ibrav = 0, nat = 10, ntyp = 3
/
ATOMIC_SPECIES
Ca 40.08 Ca.upf
Bi 208.98 Bi.upf
P 30.97 P.upf
ATOMIC_POSITIONS angstrom
Ca 0.000 0.000 4.168
Ca 3.135 1.584 2.182
Ca 1.584 3.135 -2.182
Ca 1.552 0.000 7.303
Ca 0.000 0.000 14.800
Ca 0.000 1.552 11.666
Bi 0.000 3.135 3.123
Bi 0.000 3.135 6.361
P 3.135 0.000 4.742
P 0.000 0.000 9.484
CELL_PARAMETERS angstrom
-3.135 3.135 9.484
3.135 -3.135 9.484
3.135 3.135 -9.484
```

Record 12
An optimized crystal structure of Ca3BiP, computed with PBE. Values from VASP.

Values from the calculation:
- space group = Cmcm (63)
- relative energy among the computed polymorphs (eV/f.u.) = 3.569
- magnetic moment (μB/f.u.) = 0.00

Geometry as Quantum ESPRESSO input:
```
&SYSTEM
  ibrav = 0, nat = 10, ntyp = 3
/
ATOMIC_SPECIES
Ca 40.08 Ca.upf
Bi 208.98 Bi.upf
P 30.97 P.upf
ATOMIC_POSITIONS angstrom
Ca 0.000 0.000 0.000
Ca 0.000 0.000 2.904
Ca 1.687 2.752 4.355
Ca 1.687 -2.752 1.452
Ca 4.900 2.752 4.355
Ca 4.900 -2.752 1.452
Bi 3.294 5.551 4.355
Bi 3.294 -5.551 1.452
P 3.294 0.321 4.355
P 3.294 -0.321 1.452
CELL_PARAMETERS angstrom
3.294 -8.520 0.000
3.294 8.520 0.000
0.000 0.000 5.807
```